The following is a DFT calculation (PBE) of a geometry-optimized Tb2AgHg structure.

Geometry as extended XYZ:
```
4
Lattice="3.7151 0.0000 0.0000 0.0000 5.2111 0.0000 0.0000 0.0000 5.2111" Properties=species:S:1:pos:R:3 pbc="T T T"
Tb 0.0000 0.0000 2.6055
Tb 0.0000 2.6055 0.0000
Ag 1.8575 0.0000 0.0000
Hg 1.8575 2.6055 2.6055
```

Electronic total energy: -3.503 eV/atom
DOS at the Fermi energy: 2.917 states/eV/cell
Energy relative to the elements: -0.400 eV/atom
Density: 10.31 Mg/m³

The following is a DFT calculation (PBE) of a geometry-optimized Tb3AgHg2 structure.

Geometry as extended XYZ:
```
6
Lattice="-0.1065 2.5660 -2.6675 0.1084 -2.6653 -2.5683 -11.1443 -0.4579 0.0046" Properties=species:S:1:pos:R:3 pbc="T T T"
Hg -9.2726 -0.4307 -2.6140
Hg -1.8698 -0.1265 -2.6171
Tb 0.0000 0.0000 0.0000
Tb -7.3748 -0.3030 0.0031
Tb -3.7695 -0.1549 0.0016
Ag -5.5712 -0.2786 -2.6156
```

Electronic total energy: -3.315 eV/atom
DOS at the Fermi energy: 5.091 states/eV/cell
Energy relative to the elements: -0.424 eV/atom
Density: 10.70 Mg/m³
Polymorph energy (0 for the lowest one): 1 kJ/mol of formula units

The highest energy relative to the elements belongs to which entry?
Tb2AgHg

Look up the density of the first one.
10.31 Mg/m³